Here is FeAg6F12 after structural relaxation from the Alexandria database. Energies are from PBE+U.

The calculation puts the density of states at the Fermi level at 0.61 states/eV/atom. As for the uncorrected energy: -3.77 eV/atom.

The structure belongs to space group R-3 (No. 148, hexagonal axes); the cell edges are 10.3606, 10.3606 and 9.4185 Å and the angles 90.00°, 90.00° and 120.00°. The inequivalent atoms are Fe at (0.0000, 0.0000, 0.0000), Ag at (0.0513, 0.2529, 0.6554), F at (0.0171, 0.2397, 0.4096) and F at (0.0495, 0.1773, 0.8848).